1.
{
  "formula": "PrNdSm3",
  "functional": "GGA-PBE",
  "state": "relaxed",
  "cell": [[3.662, 0.000, 0.000], [0.000, 10.320, 0.000], [0.000, 0.000, 18.272]],
  "species": ["Pr", "Pr", "Pr", "Pr", "Nd", "Nd", "Nd", "Nd", "Sm", "Sm", "Sm", "Sm", "Sm", "Sm", "Sm", "Sm", "Sm", "Sm", "Sm", "Sm"],
  "fractional_positions": [[0.750, 0.624, 0.650], [0.250, 0.876, 0.150], [0.250, 0.376, 0.350], [0.750, 0.124, 0.850], [0.250, 0.875, 0.550], [0.750, 0.625, 0.050], [0.750, 0.125, 0.450], [0.250, 0.375, 0.950], [0.250, 0.875, 0.750], [0.750, 0.625, 0.250], [0.750, 0.125, 0.250], [0.250, 0.375, 0.750], [0.750, 0.125, 0.650], [0.250, 0.375, 0.150], [0.250, 0.875, 0.350], [0.750, 0.625, 0.850], [0.750, 0.626, 0.450], [0.250, 0.874, 0.950], [0.250, 0.374, 0.550], [0.750, 0.126, 0.050]],
  "crystal_system": "orthorhombic",
  "e_form_kj_per_mol_fu": 5.5,
  "final_energy_ev_per_cell": -94.6
}

=====

2.
{
  "formula": "Pm3TmS6",
  "functional": "GGA-PBE",
  "state": "relaxed",
  "cell": [[-2.715, -3.524, 6.853], [-5.642, -3.868, -4.467], [5.383, -6.026, -1.208]],
  "species": ["Pm", "Pm", "Pm", "Pm", "Pm", "Pm", "Tm", "Tm", "S", "S", "S", "S", "S", "S", "S", "S", "S", "S", "S", "S"],
  "fractional_positions": [[0.432, 0.924, 0.751], [0.924, 0.751, 0.432], [0.249, 0.568, 0.076], [0.751, 0.432, 0.924], [0.076, 0.249, 0.568], [0.568, 0.076, 0.249], [0.000, 0.000, 0.000], [0.500, 0.500, 0.500], [0.310, 0.914, 0.078], [0.086, 0.922, 0.690], [0.590, 0.812, 0.461], [0.922, 0.690, 0.086], [0.461, 0.590, 0.812], [0.188, 0.539, 0.410], [0.812, 0.461, 0.590], [0.539, 0.410, 0.188], [0.078, 0.310, 0.914], [0.410, 0.188, 0.539], [0.914, 0.078, 0.310], [0.690, 0.086, 0.922]],
  "crystal_system": "trigonal",
  "raw_formation_energy_ev_per_fu": -20.7,
  "final_energy_ev_per_cell": -128.3
}

=====

3.
{
  "formula": "LiPa2N3",
  "functional": "GGA-PBE",
  "state": "relaxed",
  "cell": [[4.227, 0.000, 0.000], [0.000, 7.338, 0.003], [-2.113, -1.835, 5.692]],
  "species": ["Li", "Li", "Pa", "Pa", "Pa", "Pa", "N", "N", "N", "N", "N", "N"],
  "fractional_positions": [[0.000, 0.750, 0.000], [0.000, 0.250, 0.000], [0.647, 0.574, 0.294], [0.647, 0.074, 0.294], [0.353, 0.926, 0.706], [0.353, 0.426, 0.706], [0.500, 0.250, 0.000], [0.500, 0.750, 0.000], [0.223, 0.111, 0.446], [0.777, 0.389, 0.554], [0.223, 0.611, 0.446], [0.777, 0.889, 0.554]],
  "crystal_system": "orthorhombic",
  "raw_formation_energy_ev_per_fu": -8.2,
  "final_energy_ev_per_cell": -108.2
}

=====

4.
{
  "formula": "YVTe2Os",
  "functional": "GGA-PBE",
  "state": "relaxed",
  "cell": [[-3.799, 3.499, -0.485], [-3.105, -3.336, 0.255], [-0.159, 0.542, 5.157]],
  "species": ["Y", "Te", "Te", "Os", "V"],
  "fractional_positions": [[0.500, 0.500, 0.500], [0.000, 0.000, 0.500], [0.500, 0.000, 0.000], [0.000, 0.500, 0.000], [0.000, 0.000, 0.000]],
  "crystal_system": "tetragonal",
  "raw_formation_energy_ev_per_fu": 1.5,
  "final_energy_ev_per_cell": -31.6
}

=====

5.
{
  "formula": "CsTlSi2Os",
  "functional": "GGA-PBE",
  "state": "relaxed",
  "cell": [[-2.754, 2.919, -2.472], [-5.172, -3.985, 1.055], [-1.024, 2.373, 3.942]],
  "species": ["Cs", "Tl", "Os", "Si", "Si"],
  "fractional_positions": [[0.000, 0.500, 0.000], [0.500, 0.500, 0.500], [0.000, 0.000, 0.000], [0.000, 0.000, 0.500], [0.500, 0.000, 0.000]],
  "crystal_system": "tetragonal",
  "raw_formation_energy_ev_per_fu": 2.8,
  "final_energy_ev_per_cell": -22.5
}

=====

6.
{
  "formula": "KCa2Mg",
  "functional": "GGA-PBE",
  "state": "relaxed",
  "cell": [[-2.976, 0.704, 2.593], [-2.476, -2.235, -2.235], [0.290, -10.802, 3.268]],
  "species": ["Ca", "Ca", "K", "Mg"],
  "fractional_positions": [[0.000, 0.036, 0.964], [0.500, 0.287, 0.213], [0.000, 0.465, 0.535], [0.500, 0.712, 0.787]],
  "crystal_system": "tetragonal",
  "e_form_kj_per_mol_fu": 38.9,
  "final_energy_ev_per_cell": -6.3
}